VASP calculation (SCAN) on a crystal of CdTc2Te relaxed with PBEsol.

The space group is P4/mmm (No. 123) and the conventional cell measures 4.527, 4.527 and 3.221 Å, with angles of 90.00, 90.00 and 90.00 degrees. The inequivalent atoms are Cd at (0.000, 0.000, 0.000), Tc at (0.000, 0.500, 0.500) and Te at (0.500, 0.500, 0.000).

For the energy relative to the elements, uncorrected, the calculation gives 0.55 eV per atom.

VASP calculation (SCAN) on a crystal of TiZn2CdTc relaxed with PBEsol.

The space group is P4/mmm (No. 123) and the conventional cell measures 4.655, 4.655 and 4.989 Å, with angles of 90.00, 90.00 and 90.00 degrees. The inequivalent atoms are Ti at (0.000, 0.000, 0.000), Zn at (0.000, 0.500, 0.000), Cd at (0.000, 0.000, 0.500) and Tc at (0.500, 0.500, 0.500).

The value obtained for the formation energy is 1.483 eV per atom.

VASP calculation (SCAN) on a crystal of TlCdTc3 relaxed with PBEsol.

The space group is Pm-3m (No. 221) and the conventional cell measures 4.821, 4.821 and 4.821 Å, with angles of 90.00, 90.00 and 90.00 degrees. The inequivalent atoms are Tl at (0.000, 0.000, 0.000), Cd at (0.500, 0.500, 0.500) and Tc at (0.000, 0.500, 0.500).

As for the offset from the most stable computed form: 0.00 eV per formula unit. The value obtained for the formation energy is 2.315 eV per atom.

VASP calculation (SCAN) on a crystal of TlCdTc2 relaxed with PBEsol.

The space group is C2/m (No. 12) and the conventional cell measures 9.436, 2.936 and 5.079 Å, with angles of 90.00, 101.69 and 90.00 degrees. The inequivalent atoms are Tl at (0.000, 0.000, 0.000), Cd at (0.000, 0.500, 0.500) and Tc at (0.249, 0.500, 0.280).

As for the offset from the most stable computed form: 1.90 eV per formula unit. The value obtained for the formation energy is 0.705 eV per atom.

VASP calculation (SCAN) on a crystal of TlCdTc2 relaxed with PBEsol.

The space group is P4mm (No. 99) and the conventional cell measures 2.959, 2.959 and 8.280 Å, with angles of 90.00, 90.00 and 90.00 degrees. The inequivalent atoms are Tl at (0.000, 0.000, 0.000), Cd at (0.500, 0.500, 0.317), Tc at (0.000, 0.000, 0.566) and Tc at (0.500, 0.500, 0.734).

As for the offset from the most stable computed form: 0.00 eV per formula unit. The value obtained for the formation energy is 0.230 eV per atom.

VASP calculation (SCAN) on a crystal of TlCdTc2 relaxed with PBEsol.

The space group is Pmmm (No. 47) and the conventional cell measures 3.130, 4.665 and 4.674 Å, with angles of 90.00, 90.00 and 90.00 degrees. The inequivalent atoms are Tl at (0.000, 0.000, 0.000), Cd at (0.500, 0.500, 0.000), Tc at (0.000, 0.500, 0.500) and Tc at (0.500, 0.000, 0.500).

As for the offset from the most stable computed form: 2.24 eV per formula unit. The value obtained for the formation energy is 0.791 eV per atom.

VASP calculation (SCAN) on a crystal of TlCd2Tc relaxed with PBEsol.

The space group is Fm-3m (No. 225) and the conventional cell measures 6.796, 6.796 and 6.796 Å, with angles of 90.00, 90.00 and 90.00 degrees. The inequivalent atoms are Tl at (0.000, 0.000, 0.000), Cd at (0.250, 0.250, 0.250) and Tc at (0.000, 0.000, 0.500).

As for the offset from the most stable computed form: 1.26 eV per formula unit. The value obtained for the formation energy is 0.797 eV per atom.

VASP calculation (SCAN) on a crystal of TlCdTc2 relaxed with PBEsol.

The space group is P4/mmm (No. 123) and the conventional cell measures 2.860, 2.860 and 8.426 Å, with angles of 90.00, 90.00 and 90.00 degrees. The inequivalent atoms are Tl at (0.000, 0.000, 0.000), Cd at (0.000, 0.000, 0.500) and Tc at (0.500, 0.500, 0.253).

As for the offset from the most stable computed form: 2.22 eV per formula unit. The value obtained for the formation energy is 0.783 eV per atom.